# HfCdSb

A geometry-optimized HfCdSb structure (PBE-GGA, the Open Quantum Materials Database).

Properties
* raw total energy: -4.62 eV per atom

The structure in CIF format:
```
data_HfCdSb
_symmetry_space_group_name_H-M 'F -4 3 m'
_symmetry_Int_Tables_number 216
_symmetry_space_group_name_Hall 'F -4 2 3'
_cell_length_a 6.805
_cell_length_b 6.805
_cell_length_c 6.805
_cell_angle_alpha 90.00
_cell_angle_beta 90.00
_cell_angle_gamma 90.00
loop_
_atom_site_label
_atom_site_type_symbol
_atom_site_fract_x
_atom_site_fract_y
_atom_site_fract_z
Hf1 Hf 0.000 0.000 0.000
Cd1 Cd 0.000 0.000 0.500
Sb1 Sb 0.250 0.250 0.750
```

# DyLuHg

A geometry-optimized DyLuHg structure (PBE-GGA, the Open Quantum Materials Database).

Properties
* DFT formation energy: -0.123 eV per atom
* distance to the lowest polymorph of the same formula: 0.000 eV per atom
* raw total energy: -3.26 eV per atom

The structure in CIF format:
```
data_DyLuHg
_symmetry_space_group_name_H-M 'F -4 3 m'
_symmetry_Int_Tables_number 216
_symmetry_space_group_name_Hall 'F -4 2 3'
_cell_length_a 7.125
_cell_length_b 7.125
_cell_length_c 7.125
_cell_angle_alpha 90.00
_cell_angle_beta 90.00
_cell_angle_gamma 90.00
loop_
_atom_site_label
_atom_site_type_symbol
_atom_site_fract_x
_atom_site_fract_y
_atom_site_fract_z
Dy1 Dy 0.000 0.000 0.000
Lu1 Lu 0.000 0.000 0.500
Hg1 Hg 0.250 0.250 0.250
```

# Ni6Ge2B

A geometry-optimized Ni6Ge2B structure (PBE-GGA, the Open Quantum Materials Database).

Properties
* raw total energy: -5.80 eV per atom

The structure in CIF format:
```
data_Ni6Ge2B
_symmetry_space_group_name_H-M 'P -6 2 m'
_symmetry_Int_Tables_number 189
_symmetry_space_group_name_Hall 'P -6 -2'
_cell_length_a 6.2299
_cell_length_b 6.2299
_cell_length_c 2.9557
_cell_angle_alpha 90.00
_cell_angle_beta 90.00
_cell_angle_gamma 120.00
loop_
_atom_site_label
_atom_site_type_symbol
_atom_site_fract_x
_atom_site_fract_y
_atom_site_fract_z
Ni1 Ni 0.0000 0.2368 0.0000
Ni2 Ni 0.0000 0.6190 0.5000
Ge1 Ge 0.3333 0.6667 0.0000
B1 B 0.0000 0.0000 0.5000
```

# Y5Te3Os

A geometry-optimized Y5Te3Os structure (PBE-GGA, the Open Quantum Materials Database).

Properties
* distance to the lowest polymorph of the same formula: 0.000 eV per atom
* raw total energy: -6.47 eV per atom

The structure in CIF format:
```
data_Y5Te3Os
_symmetry_space_group_name_H-M 'P -6 2 m'
_symmetry_Int_Tables_number 189
_symmetry_space_group_name_Hall 'P -6 -2'
_cell_length_a 8.7181
_cell_length_b 8.7181
_cell_length_c 3.7785
_cell_angle_alpha 90.00
_cell_angle_beta 90.00
_cell_angle_gamma 120.00
loop_
_atom_site_label
_atom_site_type_symbol
_atom_site_fract_x
_atom_site_fract_y
_atom_site_fract_z
Y1 Y 0.0000 0.2301 0.0000
Y2 Y 0.3333 0.6667 0.0000
Te1 Te 0.0000 0.5656 0.5000
Os1 Os 0.0000 0.0000 0.5000
```

# Rb2LiCdF6

A geometry-optimized Rb2LiCdF6 structure (PBE-GGA, the Open Quantum Materials Database).

Properties
* distance to the lowest polymorph of the same formula: 0.000 eV per atom
* raw total energy: -3.93 eV per atom

The structure in CIF format:
```
data_Rb2LiCdF6
_symmetry_space_group_name_H-M 'I 4/m'
_symmetry_Int_Tables_number 87
_symmetry_space_group_name_Hall '-I 4'
_cell_length_a 5.842
_cell_length_b 5.842
_cell_length_c 8.260
_cell_angle_alpha 90.00
_cell_angle_beta 90.00
_cell_angle_gamma 90.00
loop_
_atom_site_label
_atom_site_type_symbol
_atom_site_fract_x
_atom_site_fract_y
_atom_site_fract_z
Rb1 Rb 0.000 0.500 0.250
Li1 Li 0.000 0.000 0.000
Cd1 Cd 0.000 0.000 0.500
F1 F 0.000 0.000 0.241
F2 F 0.239 0.243 0.000
```

# SiPdNO

A geometry-optimized SiPdNO structure (PBE-GGA, the Open Quantum Materials Database).

Properties
* distance to the lowest polymorph of the same formula: 0.372 eV per atom
* raw total energy: -6.73 eV per atom

The structure in CIF format:
```
data_SiPdNO
_symmetry_space_group_name_H-M 'P m c 21'
_symmetry_Int_Tables_number 26
_cell_length_a 2.888
_cell_length_b 5.846
_cell_length_c 5.523
_cell_angle_alpha 90.00
_cell_angle_beta 90.00
_cell_angle_gamma 90.00
loop_
_symmetry_equiv_pos_as_xyz
'x,y,z'
'-x,-y,z+1/2'
'-x,y,z'
'x,-y,z+1/2'
loop_
_atom_site_label
_atom_site_type_symbol
_atom_site_fract_x
_atom_site_fract_y
_atom_site_fract_z
Si1 Si 0.000 0.134 0.000
Pd1 Pd 0.500 0.311 0.473
N1 N 0.000 0.100 0.312
O1 O 0.500 0.277 0.940
```

# AgAsSeO

A geometry-optimized AgAsSeO structure (PBE-GGA, the Open Quantum Materials Database).

Properties
* distance to the lowest polymorph of the same formula: 0.000 eV per atom
* raw total energy: -4.48 eV per atom

The structure in CIF format:
```
data_AgAsSeO
_symmetry_space_group_name_H-M 'P 1 21 1'
_symmetry_Int_Tables_number 4
_cell_length_a 6.201
_cell_length_b 4.930
_cell_length_c 11.473
_cell_angle_alpha 90.00
_cell_angle_beta 92.31
_cell_angle_gamma 90.00
loop_
_symmetry_equiv_pos_as_xyz
'x,y,z'
'-x,y+1/2,-z'
loop_
_atom_site_label
_atom_site_type_symbol
_atom_site_fract_x
_atom_site_fract_y
_atom_site_fract_z
Ag1 Ag 0.038 0.000 0.161
Ag2 Ag 0.311 0.766 0.977
As1 As 0.160 0.215 0.461
As2 As 0.428 0.060 0.712
Se1 Se 0.080 0.998 0.803
Se2 Se 0.459 0.955 0.171
O1 O 0.088 0.860 0.481
O2 O 0.343 0.270 0.587
```

# Tb3Te2Pb

A geometry-optimized Tb3Te2Pb structure (PBE-GGA, the Open Quantum Materials Database).

Properties
* raw total energy: -5.09 eV per atom

The structure in CIF format:
```
data_Tb3Te2Pb
_symmetry_space_group_name_H-M 'C 1 2/c 1'
_symmetry_Int_Tables_number 15
_cell_length_a 7.636
_cell_length_b 13.228
_cell_length_c 7.642
_cell_angle_alpha 90.00
_cell_angle_beta 109.56
_cell_angle_gamma 90.00
loop_
_symmetry_equiv_pos_as_xyz
'x,y,z'
'-x,-y,-z'
'-x,y,-z+1/2'
'x,-y,z+1/2'
'x+1/2,y+1/2,z'
'-x+1/2,-y+1/2,-z'
'-x+1/2,y+1/2,-z+1/2'
'x+1/2,-y+1/2,z+1/2'
loop_
_atom_site_label
_atom_site_type_symbol
_atom_site_fract_x
_atom_site_fract_y
_atom_site_fract_z
Tb1 Tb 0.242 0.081 0.499
Tb2 Tb 0.250 0.250 0.000
Te1 Te 0.000 0.253 0.250
Te2 Te 0.000 0.417 0.750
Pb1 Pb 0.000 0.086 0.750
```

# YLu2Sc3Bi2Os

A geometry-optimized YLu2Sc3Bi2Os structure (PBE-GGA, the Open Quantum Materials Database).

Properties
* raw total energy: -6.58 eV per atom

The structure in CIF format:
```
data_YLu2Sc3Bi2Os
_symmetry_space_group_name_H-M 'A m m 2'
_symmetry_Int_Tables_number 38
_cell_length_a 4.200
_cell_length_b 13.634
_cell_length_c 7.878
_cell_angle_alpha 90.00
_cell_angle_beta 90.00
_cell_angle_gamma 90.00
loop_
_symmetry_equiv_pos_as_xyz
'x,y,z'
'-x,-y,z'
'-x,y,z'
'x,-y,z'
'x,y+1/2,z+1/2'
'-x,-y+1/2,z+1/2'
'-x,y+1/2,z+1/2'
'x,-y+1/2,z+1/2'
loop_
_atom_site_label
_atom_site_type_symbol
_atom_site_fract_x
_atom_site_fract_y
_atom_site_fract_z
Y1 Y 0.000 0.000 0.000
Lu1 Lu 0.000 0.191 0.579
Sc1 Sc 0.500 0.000 0.618
Sc2 Sc 0.500 0.112 0.277
Bi1 Bi 0.500 0.169 0.888
Os1 Os 0.000 0.000 0.397
```

# Dy2CuPd

A geometry-optimized Dy2CuPd structure (PBE-GGA, the Open Quantum Materials Database).

Properties
* DFT formation energy: -0.606 eV per atom
* raw total energy: -5.13 eV per atom

The structure in CIF format:
```
data_Dy2CuPd
_symmetry_space_group_name_H-M 'P m c 21'
_symmetry_Int_Tables_number 26
_cell_length_a 4.427
_cell_length_b 5.545
_cell_length_c 7.140
_cell_angle_alpha 90.00
_cell_angle_beta 90.00
_cell_angle_gamma 90.00
loop_
_symmetry_equiv_pos_as_xyz
'x,y,z'
'-x,-y,z+1/2'
'-x,y,z'
'x,-y,z+1/2'
loop_
_atom_site_label
_atom_site_type_symbol
_atom_site_fract_x
_atom_site_fract_y
_atom_site_fract_z
Dy1 Dy 0.000 0.112 0.000
Dy2 Dy 0.500 0.386 0.635
Cu1 Cu 0.000 0.388 0.357
Pd1 Pd 0.500 0.114 0.281
```

# ZnCdSnS3

A geometry-optimized ZnCdSnS3 structure (PBE-GGA, the Open Quantum Materials Database).

Properties
* distance to the lowest polymorph of the same formula: 0.112 eV per atom
* raw total energy: -3.43 eV per atom

The structure in CIF format:
```
data_ZnCdSnS3
_symmetry_space_group_name_H-M 'C m c m'
_symmetry_Int_Tables_number 63
_symmetry_space_group_name_Hall '-C 2c 2'
_cell_length_a 3.731
_cell_length_b 13.594
_cell_length_c 11.213
_cell_angle_alpha 90.00
_cell_angle_beta 90.00
_cell_angle_gamma 90.00
loop_
_atom_site_label
_atom_site_type_symbol
_atom_site_fract_x
_atom_site_fract_y
_atom_site_fract_z
Zn1 Zn 0.000 0.000 0.000
Cd1 Cd 0.000 0.485 0.250
Sn1 Sn 0.000 0.210 0.250
S1 S 0.000 0.141 0.750
S2 S 0.000 0.395 0.575
```

# HoCoI

A geometry-optimized HoCoI structure (PBE-GGA, the Open Quantum Materials Database).

Properties
* raw total energy: -5.21 eV per atom

The structure in CIF format:
```
data_HoCoI
_symmetry_space_group_name_H-M 'C 1 2/m 1'
_symmetry_Int_Tables_number 12
_cell_length_a 6.864
_cell_length_b 3.963
_cell_length_c 12.455
_cell_angle_alpha 90.00
_cell_angle_beta 100.76
_cell_angle_gamma 90.00
loop_
_symmetry_equiv_pos_as_xyz
'x,y,z'
'-x,-y,-z'
'-x,y,-z'
'x,-y,z'
'x+1/2,y+1/2,z'
'-x+1/2,-y+1/2,-z'
'-x+1/2,y+1/2,-z'
'x+1/2,-y+1/2,z'
loop_
_atom_site_label
_atom_site_type_symbol
_atom_site_fract_x
_atom_site_fract_y
_atom_site_fract_z
Ho1 Ho 0.050 0.000 0.148
Co1 Co 0.165 0.500 0.996
I1 I 0.224 0.000 0.676
```